Computed, not measured: a relaxed structure of Pr6Ni2PdBr3 at the PBE level of DFT.

CIF file:
```
data_Pr6Ni2PdBr3
_cell_length_a 7.235
_cell_length_b 7.235
_cell_length_c 8.146
_cell_angle_alpha 98.49
_cell_angle_beta 98.49
_cell_angle_gamma 120.08
_symmetry_space_group_name_H-M 'P 1'
_symmetry_Int_Tables_number 1
loop_
_symmetry_equiv_pos_as_xyz
'x,y,z'
loop_
_atom_site_label
_atom_site_fract_x
_atom_site_fract_y
_atom_site_fract_z
Ni1 0.333 0.667 0.000
Ni2 0.667 0.333 0.000
Pr1 0.065 0.411 0.195
Pr2 0.282 0.282 0.806
Pr3 0.589 0.935 0.805
Pr4 0.411 0.065 0.195
Pr5 0.935 0.589 0.805
Pr6 0.718 0.718 0.194
Br1 0.832 0.168 0.500
Br2 0.500 0.500 0.500
Br3 0.168 0.832 0.500
Pd1 0.000 0.000 0.000
```

Computed properties:
The raw formation energy comes out at -0.864 eV/atom. Its space-group type is C2/m (12). The total energy comes out at -5.0686 eV per atom. The crystal system is monoclinic.

***

Computed, not measured: a relaxed structure of Rb2NiPdBr6 at the PBE level of DFT.

CIF file:
```
data_Rb2NiPdBr6
_cell_length_a 7.356
_cell_length_b 7.356
_cell_length_c 7.362
_cell_angle_alpha 60.03
_cell_angle_beta 60.03
_cell_angle_gamma 90.00
_symmetry_space_group_name_H-M 'P 1'
_symmetry_Int_Tables_number 1
loop_
_symmetry_equiv_pos_as_xyz
'x,y,z'
loop_
_atom_site_label
_atom_site_fract_x
_atom_site_fract_y
_atom_site_fract_z
Rb1 0.250 0.750 0.500
Rb2 0.750 0.250 0.500
Br1 0.745 0.745 0.000
Br2 0.255 0.255 0.000
Br3 0.255 0.745 0.000
Br4 0.256 0.256 0.487
Br5 0.745 0.255 0.000
Br6 0.744 0.744 0.513
Ni1 0.500 0.500 0.000
Pd1 0.000 0.000 0.000
```

Computed properties:
The raw formation energy comes out at -0.858 eV/atom. Its space-group type is I4/mmm (139). The total energy comes out at -3.1531 eV per atom. The crystal system is tetragonal.

***

Computed, not measured: a relaxed structure of NiPdRh2Br at the PBE level of DFT.

CIF file:
```
data_NiPdRh2Br
_cell_length_a 4.596
_cell_length_b 4.511
_cell_length_c 4.596
_cell_angle_alpha 90.00
_cell_angle_beta 90.00
_cell_angle_gamma 90.00
_symmetry_space_group_name_H-M 'P 1'
_symmetry_Int_Tables_number 1
loop_
_symmetry_equiv_pos_as_xyz
'x,y,z'
loop_
_atom_site_label
_atom_site_fract_x
_atom_site_fract_y
_atom_site_fract_z
Rh1 0.500 0.000 0.000
Rh2 0.000 0.000 0.500
Pd1 0.500 0.500 0.500
Ni1 0.000 0.000 0.000
Br1 0.000 0.500 0.000
```

Computed properties:
The raw formation energy comes out at 1.127 eV/atom. Its space-group type is P4/mmm (123). The total energy comes out at -4.3425 eV per atom. The crystal system is tetragonal.

***

Computed, not measured: a relaxed structure of NiPdSeBr2 at the PBE level of DFT.

CIF file:
```
data_NiPdSeBr2
_cell_length_a 4.907
_cell_length_b 4.907
_cell_length_c 4.671
_cell_angle_alpha 90.00
_cell_angle_beta 90.00
_cell_angle_gamma 90.00
_symmetry_space_group_name_H-M 'P 1'
_symmetry_Int_Tables_number 1
loop_
_symmetry_equiv_pos_as_xyz
'x,y,z'
loop_
_atom_site_label
_atom_site_fract_x
_atom_site_fract_y
_atom_site_fract_z
Br1 0.000 0.500 0.000
Br2 0.500 0.000 0.000
Pd1 0.500 0.500 0.500
Ni1 0.000 0.000 0.000
Se1 0.000 0.000 0.500
```

Computed properties:
The raw formation energy comes out at 0.404 eV/atom. Its space-group type is P4/mmm (123). The total energy comes out at -3.1573 eV per atom. The calculation puts the offset from the most stable computed form at 0 meV/atom. The crystal system is tetragonal.

***

- Which value of raw formation energy does entry 3 give?
  1.127 eV/atom

***

What did the second record say?
Computed, not measured: a relaxed structure of Rb2NiPdBr6 at the PBE level of DFT.

CIF file:
```
data_Rb2NiPdBr6
_cell_length_a 7.356
_cell_length_b 7.356
_cell_length_c 7.362
_cell_angle_alpha 60.03
_cell_angle_beta 60.03
_cell_angle_gamma 90.00
_symmetry_space_group_name_H-M 'P 1'
_symmetry_Int_Tables_number 1
loop_
_symmetry_equiv_pos_as_xyz
'x,y,z'
loop_
_atom_site_label
_atom_site_fract_x
_atom_site_fract_y
_atom_site_fract_z
Rb1 0.250 0.750 0.500
Rb2 0.750 0.250 0.500
Br1 0.745 0.745 0.000
Br2 0.255 0.255 0.000
Br3 0.255 0.745 0.000
Br4 0.256 0.256 0.487
Br5 0.745 0.255 0.000
Br6 0.744 0.744 0.513
Ni1 0.500 0.500 0.000
Pd1 0.000 0.000 0.000
```

Computed properties:
The raw formation energy comes out at -0.858 eV/atom. Its space-group type is I4/mmm (139). The total energy comes out at -3.1531 eV per atom. The crystal system is tetragonal.